Record 1
# KBa3Nb | Alexandria | PBE-GGA | optimized geometry
# ρ = 3520 kg/m³
# ΔE_f = 8.07 eV/f.u.
# total energy = -1.773 eV per atom
# DOS at the Fermi energy = 1.955 states/eV/atom
data_KBa3Nb
_cell_length_a 6.355
_cell_length_b 6.355
_cell_length_c 6.355
_cell_angle_alpha 90.00
_cell_angle_beta 90.00
_cell_angle_gamma 90.00
_space_group_name_H-M_alt 'P m -3 m'
_space_group_IT_number 221
_space_group_name_Hall '-P 4 2 3'
loop_
_atom_site_label
_atom_site_fract_x
_atom_site_fract_y
_atom_site_fract_z
K1 0.000 0.000 0.000
Ba1 0.000 0.000 0.500
Nb1 0.500 0.500 0.500



Record 2
# KBaNb2 | Alexandria | PBE-GGA | optimized geometry
# ρ = 5376 kg/m³
# ΔE_f = 7.79 eV/f.u.
# total energy = -3.842 eV per atom
# DOS at the Fermi energy = 2.103 states/eV/atom
data_KBaNb2
_cell_length_a 7.649
_cell_length_b 7.649
_cell_length_c 7.649
_cell_angle_alpha 90.00
_cell_angle_beta 90.00
_cell_angle_gamma 90.00
_space_group_name_H-M_alt 'F m -3 m'
_space_group_IT_number 225
_space_group_name_Hall '-F 4 2 3'
loop_
_atom_site_label
_atom_site_fract_x
_atom_site_fract_y
_atom_site_fract_z
K1 0.000 0.000 0.000
Ba1 0.000 0.000 0.500
Nb1 0.250 0.250 0.250



Record 3
# KBaNb2 | Alexandria | PBE-GGA | optimized geometry
# ρ = 4575 kg/m³
# ΔE_f = 6.16 eV/f.u.
# total energy = -4.249 eV per atom
# DOS at the Fermi energy = 1.695 states/eV/atom
data_KBaNb2
_cell_length_a 4.583
_cell_length_b 4.583
_cell_length_c 25.039
_cell_angle_alpha 90.00
_cell_angle_beta 90.00
_cell_angle_gamma 90.00
_space_group_name_H-M_alt 'I -4 2 d'
_space_group_IT_number 122
_space_group_name_Hall 'I -4 2bw'
loop_
_atom_site_label
_atom_site_fract_x
_atom_site_fract_y
_atom_site_fract_z
K1 0.000 0.000 0.000
Ba1 0.000 0.000 0.500
Nb1 0.115 0.250 0.625



Record 4
# KBa3Nb | Alexandria | PBE-GGA | optimized geometry
# ρ = 3474 kg/m³
# ΔE_f = 3.27 eV/f.u.
# total energy = -2.733 eV per atom
# DOS at the Fermi energy = 0.928 states/eV/atom
data_KBa3Nb
_cell_length_a 6.382
_cell_length_b 6.382
_cell_length_c 6.382
_cell_angle_alpha 90.00
_cell_angle_beta 90.00
_cell_angle_gamma 90.00
_space_group_name_H-M_alt 'P m -3 m'
_space_group_IT_number 221
_space_group_name_Hall '-P 4 2 3'
loop_
_atom_site_label
_atom_site_fract_x
_atom_site_fract_y
_atom_site_fract_z
K1 0.000 0.000 0.000
Ba1 0.000 0.500 0.500
Nb1 0.500 0.500 0.500



Record 5
# K4BaNb3O12 | Alexandria | PBE-GGA | optimized geometry
# ρ = 4001 kg/m³
# total energy = -6.793 eV per atom
# DOS at the Fermi energy = 0.508 states/eV/atom
# formation energy without anion corrections = -1.992 eV per atom
data_K4BaNb3O12
_cell_length_a 8.593
_cell_length_b 8.593
_cell_length_c 8.593
_cell_angle_alpha 90.00
_cell_angle_beta 90.00
_cell_angle_gamma 90.00
_space_group_name_H-M_alt 'I m -3 m'
_space_group_IT_number 229
_space_group_name_Hall '-I 4 2 3'
loop_
_atom_site_label
_atom_site_fract_x
_atom_site_fract_y
_atom_site_fract_z
K1 0.250 0.250 0.250
Ba1 0.000 0.000 0.000
Nb1 0.000 0.000 0.500
O1 0.000 0.000 0.281
O2 0.000 0.250 0.500



Record 6
# KBa2Nb3O9 | Alexandria | PBE-GGA | optimized geometry
# ρ = 5817 kg/m³
# total energy = -8.004 eV per atom
# DOS at the Fermi energy = 0.268 states/eV/atom
# formation energy without anion corrections = -2.686 eV per atom
data_KBa2Nb3O9
_cell_length_a 5.8299
_cell_length_b 5.8299
_cell_length_c 7.1425
_cell_angle_alpha 90.00
_cell_angle_beta 90.00
_cell_angle_gamma 120.00
_space_group_name_H-M_alt 'P -3 m 1'
_space_group_IT_number 164
_space_group_name_Hall '-P 3 2"'
loop_
_atom_site_label
_atom_site_fract_x
_atom_site_fract_y
_atom_site_fract_z
K1 0.0000 0.0000 0.0000
Ba1 0.3333 0.6667 0.6712
Nb1 0.0000 0.0000 0.5000
Nb2 0.3333 0.6667 0.1639
O1 0.0000 0.5000 0.0000
O2 0.1679 0.3358 0.3359



Record 7
# KBa2NbO5 | Alexandria | PBE-GGA | optimized geometry
# ρ = 4900 kg/m³
# total energy = -6.940 eV per atom
# DOS at the Fermi energy = 0.000 states/eV/atom
# formation energy without anion corrections = -2.518 eV per atom
data_KBa2NbO5
_cell_length_a 4.122
_cell_length_b 6.522
_cell_length_c 12.269
_cell_angle_alpha 90.00
_cell_angle_beta 90.00
_cell_angle_gamma 90.00
_space_group_name_H-M_alt 'I m m m'
_space_group_IT_number 71
_space_group_name_Hall '-I 2 2'
loop_
_atom_site_label
_atom_site_fract_x
_atom_site_fract_y
_atom_site_fract_z
K1 0.000 0.000 0.000
Ba1 0.000 0.500 0.223
Nb1 0.000 0.000 0.500
O1 0.000 0.213 0.378
O2 0.000 0.500 0.000



Record 8
# KBa3Nb2O9 | Alexandria | PBE-GGA | optimized geometry
# ρ = 4974 kg/m³
# total energy = -7.295 eV per atom
# DOS at the Fermi energy = 0.686 states/eV/atom
# formation energy without anion corrections = -2.520 eV per atom
data_KBa3Nb2O9
_cell_length_a 6.0111
_cell_length_b 6.0111
_cell_length_c 8.3315
_cell_angle_alpha 90.00
_cell_angle_beta 90.00
_cell_angle_gamma 120.00
_space_group_name_H-M_alt 'P -3 m 1'
_space_group_IT_number 164
_space_group_name_Hall '-P 3 2"'
loop_
_atom_site_label
_atom_site_fract_x
_atom_site_fract_y
_atom_site_fract_z
K1 0.0000 0.0000 0.0000
Ba1 0.0000 0.0000 0.5000
Ba2 0.3333 0.6667 0.2307
Nb1 0.3333 0.6667 0.6670
O1 0.0000 0.5000 0.5000
O2 0.1738 0.3475 0.7759